Here is an optimized crystal structure of Li2Ho3Au3 from Alexandria via LeMat-Bulk. Energies are from PBE-GGA.

```
Li2Ho3Au3
1.0
8.5303 0.0000 0.0000
-4.2651 7.3874 0.0000
0.0000 0.0000 5.5674
Li Ho Au
4 6 6
direct
0.3333 0.6667 0.0000 Li
0.3333 0.6667 0.5000 Li
0.6667 0.3333 0.0000 Li
0.6667 0.3333 0.5000 Li
0.0000 0.2534 0.2500 Ho
0.0000 0.7466 0.7500 Ho
0.2534 0.0000 0.2500 Ho
0.2534 0.2534 0.7500 Ho
0.7466 0.0000 0.7500 Ho
0.7466 0.7466 0.2500 Ho
0.0000 0.3963 0.7500 Au
0.0000 0.6037 0.2500 Au
0.3963 0.0000 0.7500 Au
0.3963 0.3963 0.2500 Au
0.6037 0.0000 0.2500 Au
0.6037 0.6037 0.7500 Au
```

=====

Here is an optimized crystal structure of Li8HoAu6 from Alexandria via LeMat-Bulk. Energies are from PBE-GGA.

```
Li8HoAu6
1.0
3.9975 2.3080 5.3244
-3.9975 2.3080 5.3244
0.0000 -4.6159 5.3244
Li Ho Au
8 1 6
direct
0.0197 0.3983 0.7171 Li
0.1594 0.1594 0.1594 Li
0.2829 0.9803 0.6017 Li
0.3983 0.7171 0.0197 Li
0.6017 0.2829 0.9803 Li
0.7171 0.0197 0.3983 Li
0.8406 0.8406 0.8406 Li
0.9803 0.6017 0.2829 Li
0.5000 0.5000 0.5000 Ho
0.1065 0.7947 0.4557 Au
0.2053 0.5443 0.8935 Au
0.4557 0.1065 0.7947 Au
0.5443 0.8935 0.2053 Au
0.7947 0.4557 0.1065 Au
0.8935 0.2053 0.5443 Au
```

=====

Here is an optimized crystal structure of LiHoAu4 from Alexandria via LeMat-Bulk. Energies are from PBE-GGA.

```
LiHoAu4
1.0
2.5762 -4.4399 0.0000
2.5762 4.4399 0.0000
-0.0252 0.0000 5.1057
Li Ho Au
1 1 4
direct
0.0000 0.0000 0.0000 Li
0.5000 0.5000 0.5000 Ho
0.1622 0.8378 0.5000 Au
0.3307 0.6693 0.0000 Au
0.6693 0.3307 0.0000 Au
0.8378 0.1622 0.5000 Au
```

=====

Here is an optimized crystal structure of LiHo2Au4 from Alexandria via LeMat-Bulk. Energies are from PBE-GGA.

```
LiHo2Au4
1.0
4.8304 0.0000 0.0000
0.0000 4.8304 0.0000
0.0000 0.0000 6.7337
Li Ho Au
1 2 4
direct
0.0000 0.0000 0.0000 Li
0.0000 0.0000 0.5000 Ho
0.5000 0.5000 0.0000 Ho
0.0000 0.5000 0.2493 Au
0.0000 0.5000 0.7507 Au
0.5000 0.0000 0.2493 Au
0.5000 0.0000 0.7507 Au
```

=====

Here is an optimized crystal structure of LiHoAu from Alexandria via LeMat-Bulk. Energies are from PBE-GGA.

```
LiHoAu
1.0
4.0465 0.0000 0.0000
0.0000 4.0465 0.0000
0.0000 0.0000 7.9694
Li Ho Au
2 2 2
direct
0.2500 0.7500 0.0000 Li
0.7500 0.2500 0.0000 Li
0.2500 0.2500 0.3499 Ho
0.7500 0.7500 0.6501 Ho
0.2500 0.2500 0.7419 Au
0.7500 0.7500 0.2581 Au
```

=====

Here is an optimized crystal structure of LiHo2Au4 from Alexandria via LeMat-Bulk. Energies are from PBE-GGA.

```
LiHo2Au4
1.0
5.8819 0.0000 0.0000
0.0000 5.8266 0.0000
-2.2029 0.0000 8.5140
Li Ho Au
2 4 8
direct
0.0770 0.2500 0.3010 Li
0.9230 0.7500 0.6990 Li
0.1128 0.2500 0.9126 Ho
0.3064 0.7500 0.5155 Ho
0.6936 0.2500 0.4845 Ho
0.8872 0.7500 0.0874 Ho
0.2122 0.2500 0.5993 Au
0.2939 0.7500 0.9152 Au
0.3729 0.5071 0.2126 Au
0.3729 0.9929 0.2126 Au
0.6271 0.0071 0.7874 Au
0.6271 0.4929 0.7874 Au
0.7061 0.2500 0.0848 Au
0.7877 0.7500 0.4007 Au
```

=====

Results for E_form: -0.6710 -0.4584 -0.5922 -0.6365 -0.6017 -0.6789 (in eV per atom, following the order of the records).